Density functional theory data (PBE) for RbAg2F8 after structural relaxation.

Properties
ΔE to the lowest computed polymorph	0.00	kcal/mol of atoms
spin magnetization	1.113	Bohr magnetons per cell
uncorrected formation energy	-1.28	eV/atom

Lattice parameters (Å, degrees): 4.8049 6.7132 8.4563 128.80 90.19 97.54
Each line ends with the local moment (μB).
Atoms (fractional coordinates):
1 F 0.7138 0.7514 0.6049  0.09
2 F 0.7110 0.7544 0.1482  0.09
3 F 0.2862 0.2486 0.3950  0.09
4 F 0.6371 0.3726 0.1864  0.06
5 Ag 0.7062 0.7499 0.3751  0.17
6 Rb 0.0000 0.0000 0.0000  0.00
7 Ag 0.2938 0.2501 0.6249  0.17
8 F 0.3629 0.6274 0.8136  0.06
9 F 0.7751 0.1417 0.5710  0.12
10 F 0.2249 0.8583 0.4290  0.12
11 F 0.2890 0.2457 0.8518  0.09


Density functional theory data (PBE) for Rb2Ag2F7 after structural relaxation.

Properties
spin magnetization	0.000	Bohr magnetons per cell
uncorrected formation energy	-1.75	eV/atom

Lattice parameters (Å, degrees): 4.3243 7.5640 7.5642 119.39 98.33 98.33
Atoms (fractional coordinates):
1 Ag 0.8320 0.6902 0.6902
2 F 0.8351 0.5507 0.8571
3 F 0.0000 0.0000 0.0000
4 F 0.6788 0.3322 0.3322
5 F 0.1649 0.4493 0.1429
6 Rb 0.5000 0.1781 0.8219
7 F 0.3212 0.6678 0.6678
8 F 0.1650 0.1429 0.4493
9 Rb 0.5000 0.8219 0.1781
10 F 0.8350 0.8571 0.5507
11 Ag 0.1680 0.3098 0.3098


Density functional theory data (PBE) for Rb3Ag2F6 after structural relaxation.

Properties
spin magnetization	0.000	Bohr magnetons per cell
uncorrected formation energy	-2.01	eV/atom

Lattice parameters (Å, degrees): 4.4066 4.4066 11.9763 100.60 100.60 90.00
Atoms (fractional coordinates):
1 F 0.0818 0.5818 0.1635
2 Ag 0.4065 0.4065 0.8131
3 F 0.9182 0.4182 0.8365
4 Ag 0.5935 0.5935 0.1869
5 Rb 0.0000 0.0000 0.0000
6 Rb 0.1858 0.1858 0.3716
7 F 0.5818 0.0818 0.1635
8 Rb 0.8142 0.8142 0.6284
9 F 0.3034 0.3034 0.6069
10 F 0.6966 0.6966 0.3931
11 F 0.4182 0.9182 0.8365


Density functional theory data (PBE) for Rb2Ag2F7 after structural relaxation.

Properties
spin magnetization	1.047	Bohr magnetons per cell
uncorrected formation energy	-1.75	eV/atom

Lattice parameters (Å, degrees): 5.8186 5.7183 7.6893 73.40 86.61 86.66
Each line ends with the local moment (μB).
Atoms (fractional coordinates):
1 F 0.8482 0.6008 0.3136  0.07
2 Rb 0.6959 0.5915 0.6904  0.00
3 F 0.4369 0.7548 0.9659  0.07
4 F 0.5631 0.2452 0.0341  0.07
5 F 0.0000 0.0000 0.0000  -0.01
6 F 0.1518 0.3992 0.6864  0.07
7 F 0.5603 0.1308 0.6445  0.11
8 Ag 0.7104 0.9241 0.1719  0.25
9 Ag 0.2896 0.0759 0.8281  0.25
10 F 0.4397 0.8692 0.3555  0.11
11 Rb 0.3041 0.4085 0.3096  0.00


Density functional theory data (PBE) for Rb2AgF4 after structural relaxation.

Properties
ΔE to the lowest computed polymorph	0.00	kcal/mol of atoms
spin magnetization	0.842	Bohr magnetons per cell
uncorrected formation energy	-2.09	eV/atom

Lattice parameters (Å, degrees): 4.4652 4.4652 7.6804 73.10 73.10 90.00
Each line ends with the local moment (μB).
Atoms (fractional coordinates):
1 Rb 0.3569 0.3569 0.2862  0.00
2 Rb 0.6431 0.6431 0.7138  0.00
3 F 0.5000 0.0000 0.0000  0.09
4 F 0.0000 0.5000 0.0000  0.09
5 F 0.1588 0.1588 0.6824  0.09
6 Ag 0.0000 0.0000 0.0000  0.46
7 F 0.8412 0.8412 0.3176  0.09


Density functional theory data (PBE) for RbAgF5 after structural relaxation.

Properties
spin magnetization	0.000	Bohr magnetons per cell
uncorrected formation energy	-1.51	eV/atom

Lattice parameters (Å, degrees): 7.0842 7.0842 7.0842 106.91 110.43 111.11
Atoms (fractional coordinates):
1 Rb 0.5111 0.7611 0.2500
2 F 0.7566 0.7436 0.9871
3 Rb 0.4889 0.2389 0.7500
4 Ag 0.0000 0.5000 0.5000
5 F 0.2418 0.5000 0.7417
6 Ag 0.0000 0.0000 0.0000
7 F 0.9808 0.2308 0.2500
8 F 0.7583 0.0000 0.7583
9 F 0.7582 0.5000 0.2583
10 F 0.2435 0.7305 0.4871
11 F 0.7565 0.2695 0.5129
12 F 0.2434 0.2564 0.0129
13 F 0.0192 0.7692 0.7500
14 F 0.2417 0.0000 0.2417


Density functional theory data (PBE) for RbAg2F3 after structural relaxation.

Properties
ΔE to the lowest computed polymorph	0.00	kcal/mol of atoms
spin magnetization	0.000	Bohr magnetons per cell
uncorrected formation energy	-1.53	eV/atom

Lattice parameters (Å, degrees): 3.6300 4.8401 12.7281 89.99 90.00 90.00
Atoms (fractional coordinates):
1 Ag 0.2500 0.7334 0.5652
2 Rb 0.7500 0.2307 0.7500
3 F 0.7500 0.2712 0.2500
4 Ag 0.7500 0.2668 0.0652
5 F 0.7500 0.7675 0.4295
6 Ag 0.2500 0.7332 0.9348
7 Ag 0.7500 0.2666 0.4348
8 F 0.2500 0.2323 0.9294
9 Rb 0.2500 0.7693 0.2500
10 F 0.2500 0.2325 0.5705
11 F 0.2500 0.7288 0.7500
12 F 0.7500 0.7677 0.0706


Density functional theory data (PBE) for Rb5AgF8 after structural relaxation.

Properties
spin magnetization	0.314	Bohr magnetons per cell
uncorrected formation energy	-2.22	eV/atom

Lattice parameters (Å, degrees): 7.3210 7.3210 7.3210 111.65 105.19 111.65
Each line ends with the local moment (μB).
Atoms (fractional coordinates):
1 Ag 0.2500 0.5000 0.7500  -0.04
2 Rb 0.8313 0.8554 0.2431  0.00
3 Rb 0.3876 0.1446 0.9759  0.00
4 Rb 0.0241 0.4117 0.1687  0.00
5 F 0.0266 0.2294 0.7325  -0.01
6 F 0.5030 0.7706 0.7972  -0.01
7 Rb 0.7569 0.5883 0.6124  0.00
8 F 0.6844 0.4176 0.8939  0.09
9 F 0.2028 0.7059 0.9734  -0.01
10 F 0.2675 0.2941 0.4970  -0.01
11 F 0.7332 0.2094 0.3156  0.09
12 Rb 0.5000 0.0000 0.5000  0.00
13 F 0.4762 0.5824 0.2668  0.09
14 F 0.1061 0.7906 0.5238  0.09


Density functional theory data (PBE) for Rb3AgF7 after structural relaxation.

Properties
spin magnetization	2.654	Bohr magnetons per cell
uncorrected formation energy	-1.97	eV/atom

Lattice parameters (Å, degrees): 6.2695 8.2254 8.2254 90.00 90.00 90.00
Each line ends with the local moment (μB).
Atoms (fractional coordinates):
1 F 0.7577 0.8788 0.6212  0.15
2 F 0.0000 0.8316 0.3316  0.01
3 F 0.5000 0.5000 0.5000  0.15
4 F 0.7577 0.6212 0.1212  0.15
5 F 0.0000 0.6684 0.8316  0.01
6 F 0.2423 0.1212 0.3788  0.15
7 F 0.2423 0.3788 0.8788  0.15
8 F 0.7577 0.3788 0.8788  0.15
9 Rb 0.5000 0.6824 0.8176  0.01
10 Rb 0.5000 0.1824 0.6824  0.01
11 F 0.0000 0.3316 0.1684  0.01
12 Ag 0.0000 0.0000 0.5000  0.43
13 Rb 0.5000 0.3176 0.1824  0.01
14 F 0.7577 0.1212 0.3788  0.15
15 F 0.5000 0.0000 0.0000  0.15
16 F 0.0000 0.1684 0.6684  0.01
17 F 0.2423 0.6212 0.1212  0.15
18 Rb 0.0000 0.5000 0.5000  0.00
19 F 0.2423 0.8788 0.6212  0.15
20 Rb 0.0000 0.0000 0.0000  0.00
21 Rb 0.5000 0.8176 0.3176  0.01
22 Ag 0.0000 0.5000 0.0000  0.43


Density functional theory data (PBE) for RbAg2F3 after structural relaxation.

Properties
ΔE to the lowest computed polymorph	2.09	kcal/mol of atoms
spin magnetization	0.000	Bohr magnetons per cell
uncorrected formation energy	-1.44	eV/atom

Lattice parameters (Å, degrees): 5.8645 6.5317 6.5317 73.48 90.00 90.00
Atoms (fractional coordinates):
1 F 0.7500 0.4654 0.1881
2 Ag 0.0000 0.1817 0.1817
3 Rb 0.2500 0.6311 0.3689
4 F 0.2500 0.5346 0.8119
5 Ag 0.5000 0.1817 0.1817
6 F 0.7500 0.0309 0.9691
7 Ag 0.0000 0.8183 0.8183
8 F 0.2500 0.9691 0.0309
9 F 0.7500 0.8119 0.5346
10 F 0.2500 0.1881 0.4654
11 Ag 0.5000 0.8183 0.8183
12 Rb 0.7500 0.3689 0.6311


Density functional theory data (PBE) for RbAg3F after structural relaxation.

Properties
ΔE to the lowest computed polymorph	22.40	kcal/mol of atoms
spin magnetization	0.711	Bohr magnetons per cell
uncorrected formation energy	0.92	eV/atom

Lattice parameters (Å, degrees): 6.2196 6.2196 6.2196 90.00 90.00 90.00
Each line ends with the local moment (μB).
Atoms (fractional coordinates):
1 Ag 0.0000 0.5000 0.0000  0.02
2 Rb 0.0000 0.0000 0.0000  0.02
3 F 0.5000 0.5000 0.5000  0.12
4 Ag 0.0000 0.0000 0.5000  0.03
5 Ag 0.5000 0.0000 0.0000  0.13


Density functional theory data (PBE) for RbAg4F12 after structural relaxation.

Properties
spin magnetization	0.000	Bohr magnetons per cell
uncorrected formation energy	-1.29	eV/atom

Lattice parameters (Å, degrees): 7.3040 7.3040 7.3040 109.47 109.47 109.47
Atoms (fractional coordinates):
1 F 0.7535 0.2437 0.9972
2 Ag 0.5000 0.0000 0.0000
3 F 0.0028 0.2465 0.7563
4 F 0.7535 0.7563 0.5099
5 F 0.4901 0.2465 0.2437
6 F 0.2437 0.4901 0.2465
7 F 0.2465 0.7563 0.0028
8 Ag 0.5000 0.5000 0.5000
9 Ag 0.0000 0.5000 0.0000
10 F 0.7563 0.0028 0.2465
11 F 0.2465 0.2437 0.4901
12 F 0.7563 0.5099 0.7535
13 F 0.5099 0.7535 0.7563
14 Ag 0.0000 0.0000 0.5000
15 F 0.9972 0.7535 0.2437
16 Rb 0.0000 0.0000 0.0000
17 F 0.2437 0.9972 0.7535


Density functional theory data (PBE) for RbAg3F4 after structural relaxation.

Properties
ΔE to the lowest computed polymorph	0.00	kcal/mol of atoms
spin magnetization	0.000	Bohr magnetons per cell
uncorrected formation energy	-1.38	eV/atom

Lattice parameters (Å, degrees): 6.6860 6.6860 6.6860 90.00 90.00 90.00
Atoms (fractional coordinates):
1 Ag 0.2500 0.0000 0.5000
2 Rb 0.5000 0.5000 0.5000
3 Ag 0.7500 0.0000 0.5000
4 F 0.2500 0.2500 0.7500
5 Rb 0.0000 0.0000 0.0000
6 Ag 0.5000 0.7500 0.0000
7 F 0.7500 0.7500 0.7500
8 F 0.7500 0.7500 0.2500
9 F 0.7500 0.2500 0.2500
10 Ag 0.0000 0.5000 0.2500
11 F 0.7500 0.2500 0.7500
12 F 0.2500 0.7500 0.2500
13 F 0.2500 0.2500 0.2500
14 F 0.2500 0.7500 0.7500
15 Ag 0.0000 0.5000 0.7500
16 Ag 0.5000 0.2500 0.0000


Density functional theory data (PBE) for RbAgF2 after structural relaxation.

Properties
ΔE to the lowest computed polymorph	1.58	kcal/mol of atoms
spin magnetization	0.000	Bohr magnetons per cell
uncorrected formation energy	-1.77	eV/atom

Lattice parameters (Å, degrees): 5.6728 5.6728 7.3130 67.18 67.18 90.00
Atoms (fractional coordinates):
1 Rb 0.5000 0.5000 0.0000
2 Ag 0.0000 0.0000 0.0000
3 Ag 0.7500 0.2500 0.5000
4 F 0.0701 0.6250 0.2500
5 F 0.8750 0.9299 0.7500
6 F 0.3750 0.3201 0.7500
7 Rb 0.2500 0.7500 0.5000
8 F 0.6799 0.1250 0.2500


Density functional theory data (PBE) for RbAg2F5 after structural relaxation.

Properties
spin magnetization	0.000	Bohr magnetons per cell
uncorrected formation energy	-1.56	eV/atom

Lattice parameters (Å, degrees): 4.2607 4.2607 8.1867 105.08 105.08 90.00
Atoms (fractional coordinates):
1 F 0.0000 0.0000 0.0000
2 F 0.1502 0.6502 0.3003
3 Ag 0.8453 0.8453 0.6906
4 Rb 0.5000 0.5000 0.0000
5 F 0.6502 0.1502 0.3003
6 F 0.3498 0.8498 0.6997
7 F 0.8498 0.3498 0.6997
8 Ag 0.1547 0.1547 0.3094


Density functional theory data (PBE) for RbAg3F6 after structural relaxation.

Properties
ΔE to the lowest computed polymorph	0.37	kcal/mol of atoms
spin magnetization	0.000	Bohr magnetons per cell
uncorrected formation energy	-1.46	eV/atom

Lattice parameters (Å, degrees): 6.1109 6.1109 6.2209 90.00 119.42 120.00
Atoms (fractional coordinates):
1 F 0.3965 0.3993 0.2039
2 F 0.2066 0.8073 0.2039
3 Rb 0.7959 0.8979 0.6938
4 F 0.8046 0.9973 0.2039
5 F 0.3621 0.4463 0.7202
6 Ag 0.3071 0.6536 0.9607
7 F 0.8044 0.3581 0.7202
8 F 0.2739 0.9157 0.7202
9 Ag 0.3012 0.1506 0.4517
10 Ag 0.7478 0.3739 0.1217


Density functional theory data (PBE) for RbAgF2 after structural relaxation.

Properties
ΔE to the lowest computed polymorph	3.79	kcal/mol of atoms
spin magnetization	0.000	Bohr magnetons per cell
uncorrected formation energy	-1.67	eV/atom

Lattice parameters (Å, degrees): 3.2247 3.2247 6.5248 90.00 90.00 90.00
Atoms (fractional coordinates):
1 F 0.0000 0.0000 0.7677
2 F 0.0000 0.0000 0.2323
3 Rb 0.5000 0.5000 0.5000
4 Ag 0.5000 0.5000 0.0000


Density functional theory data (PBE) for RbAgF2 after structural relaxation.

Properties
ΔE to the lowest computed polymorph	4.33	kcal/mol of atoms
spin magnetization	0.000	Bohr magnetons per cell
uncorrected formation energy	-1.65	eV/atom

Lattice parameters (Å, degrees): 3.2062 4.6304 4.6304 90.00 90.00 90.00
Atoms (fractional coordinates):
1 Ag 0.5000 0.0000 0.0000
2 F 0.0000 0.5000 0.0000
3 Rb 0.5000 0.5000 0.5000
4 F 0.0000 0.0000 0.5000


Density functional theory data (PBE) for Rb6AgF12 after structural relaxation.

Properties
spin magnetization	3.480	Bohr magnetons per cell
uncorrected formation energy	-1.98	eV/atom

Lattice parameters (Å, degrees): 7.6885 7.6885 7.6885 98.96 98.96 98.96
Each line ends with the local moment (μB).
Atoms (fractional coordinates):
1 F 0.9408 0.0186 0.7341  0.11
2 F 0.0186 0.7341 0.9408  0.11
3 Rb 0.7347 0.8382 0.3880  0.00
4 Rb 0.3880 0.7347 0.8382  0.00
5 F 0.1348 0.4756 0.5751  0.33
6 Rb 0.6120 0.2653 0.1618  0.00
7 Ag 0.0000 0.0000 0.0000  0.50
8 Rb 0.8382 0.3880 0.7347  0.00
9 F 0.7341 0.9408 0.0186  0.11
10 Rb 0.1618 0.6120 0.2653  0.00
11 F 0.0592 0.9814 0.2659  0.11
12 F 0.4756 0.5751 0.1348  0.33
13 F 0.5751 0.1348 0.4756  0.33
14 F 0.2659 0.0592 0.9814  0.11
15 F 0.4249 0.8652 0.5244  0.33
16 F 0.9814 0.2659 0.0592  0.11
17 F 0.5244 0.4249 0.8652  0.33
18 F 0.8652 0.5244 0.4249  0.33
19 Rb 0.2653 0.1618 0.6120  0.00


Density functional theory data (PBE) for Rb2AgF after structural relaxation.

Properties
ΔE to the lowest computed polymorph	0.65	kcal/mol of atoms
spin magnetization	0.000	Bohr magnetons per cell
uncorrected formation energy	-1.19	eV/atom

Lattice parameters (Å, degrees): 4.3370 4.3370 8.5610 75.33 75.33 60.00
Atoms (fractional coordinates):
1 F 0.6668 0.6668 0.9996
2 Rb 0.2688 0.2688 0.1935
3 Rb 0.0647 0.0647 0.8059
4 Ag 0.4997 0.4997 0.5010


Density functional theory data (PBE) for Rb6Ag3F14 after structural relaxation.

Properties
spin magnetization	3.996	Bohr magnetons per cell
uncorrected formation energy	-1.90	eV/atom

Lattice parameters (Å, degrees): 6.3825 9.7265 9.7265 120.00 90.00 90.00
Each line ends with the local moment (μB).
Atoms (fractional coordinates):
1 F 0.9812 0.1589 0.9543  0.16
2 F 0.0107 0.3333 0.6667  0.10
3 Rb 0.2669 0.7816 0.0563  0.00
4 Rb 0.7982 0.0280 0.4596  0.00
5 F 0.5214 0.2607 0.4566  0.18
6 F 0.5214 0.5434 0.8040  0.18
7 F 0.4693 0.0000 0.0000  0.08
8 Rb 0.2669 0.9437 0.7253  0.00
9 F 0.9812 0.0457 0.2047  0.16
10 F 0.6201 0.4691 0.2634  0.13
11 F 0.6201 0.7366 0.2057  0.13
12 F 0.5214 0.1960 0.7393  0.18
13 Rb 0.7982 0.5404 0.5685  0.00
14 F 0.2419 0.8657 0.3986  0.14
15 Ag 0.8018 0.0000 0.0000  0.54
16 Rb 0.7982 0.4315 0.9720  0.00
17 F 0.2419 0.6014 0.4671  0.14
18 F 0.6201 0.7943 0.5309  0.13
19 Ag 0.4288 0.6667 0.3333  0.60
20 F 0.2419 0.5329 0.1343  0.14
21 Rb 0.2669 0.2747 0.2184  0.00
22 Ag 0.3432 0.3333 0.6667  0.57
23 F 0.9812 0.7953 0.8411  0.16